The following is a PBE calculation of ZnPdPbW2 after structural relaxation, from the Alexandria database.

Geometry as POSCAR:
```
ZnPdPbW2
1.0
4.867 0.000 0.000
0.000 4.675 0.000
0.000 0.000 4.867
Zn W Pb Pd
1 2 1 1
Direct
0.000 0.500 0.000
0.000 0.000 0.500
0.500 0.000 0.000
0.500 0.500 0.500
0.000 0.000 0.000
```

## Properties
DFT formation energy = 1.57 eV/atom
mass density = 11.2 g/cm³